No. 1
The following is a DFT calculation (PBE) of an optimized crystal structure of ErAl3Ni2.

## Properties
Formation energy from the elements ... -0.634 eV per atom
Symmetry ... P6/mmm
Crystal system ... hexagonal

a = 3.9762 Å, b = 5.2458 Å, c = 5.2458 Å
α = 60.00°, β = 90.00°, γ = 90.00°
Fractional coordinates of all 6 atoms:
Ni 0.0000 0.6667 0.6667
Ni 0.0000 0.3333 0.3333
Al 0.5000 0.0000 0.5000
Al 0.5000 0.5000 0.0000
Al 0.5000 0.5000 0.5000
Er 0.0000 0.0000 0.0000

=====

No. 2
The following is a DFT calculation (PBE) of an optimized crystal structure of Hf2Ti2N3.

## Properties
Symmetry ... C2/m
DFT total energy ... -10.27 eV per atom
Crystal system ... monoclinic

a = 3.1526 Å, b = 5.3051 Å, c = 5.5011 Å
α = 104.31°, β = 106.65°, γ = 90.00°
Fractional coordinates of all 7 atoms:
Hf 0.3824 0.1464 0.7647
Hf 0.6176 0.8536 0.2353
Ti 0.1429 0.3577 0.2858
Ti 0.8571 0.6423 0.7142
N 0.0000 0.0000 0.0000
N 0.2478 0.7524 0.4956
N 0.7522 0.2476 0.5044

=====

No. 3
The following is a DFT calculation (PBE) of an optimized crystal structure of HfGaPd6.

## Properties
Formation energy from the elements ... -0.686 eV per atom
Symmetry ... Cmmm
Polymorph energy (0 for the lowest one) ... 0 meV per atom
Crystal system ... orthorhombic

a = 3.9421 Å, b = 5.6367 Å, c = 5.6367 Å
α = 89.78°, β = 90.00°, γ = 90.00°
Fractional coordinates of all 8 atoms:
Hf 0.5000 0.0000 0.0000
Ga 0.5000 0.5000 0.5000
Pd 0.0000 0.7475 0.2525
Pd 0.0000 0.2525 0.7475
Pd 0.0000 0.7504 0.7504
Pd 0.0000 0.2496 0.2496
Pd 0.5000 0.5000 0.0000
Pd 0.5000 0.0000 0.5000

=====

No. 4
The following is a DFT calculation (PBE) of an optimized crystal structure of YCoBi2H.

## Properties
Symmetry ... P4/mmm
DFT total energy ... -4.94 eV per atom
Crystal system ... tetragonal

a = 5.3775 Å, b = 3.4215 Å, c = 5.3775 Å
α = 90.00°, β = 90.00°, γ = 90.00°
Last column: magnetic moment on the atom in μB.
Fractional coordinates of all 5 atoms:
Y 0.5000 0.5000 0.5000  -0.03
H 0.0000 0.0000 0.0000  -0.01
Co 0.0000 0.5000 0.0000  0.44
Bi 0.0000 0.0000 0.5000  -0.02
Bi 0.5000 0.0000 0.0000  -0.01

=====

No. 5
The following is a DFT calculation (PBE) of an optimized crystal structure of LaY2RhN4.

## Properties
Symmetry ... Cmcm
DFT total energy ... -8.29 eV per atom
Crystal system ... orthorhombic

a = 3.4580 Å, b = 6.1782 Å, c = 11.6251 Å
α = 90.00°, β = 90.00°, γ = 106.25°
Fractional coordinates of all 16 atoms:
La 0.1116 0.2233 0.7500
La 0.8884 0.7767 0.2500
Y 0.3701 0.7402 0.5449
Y 0.6299 0.2598 0.0449
Y 0.6299 0.2598 0.4551
Y 0.3701 0.7402 0.9551
Rh 0.8504 0.7008 0.7500
Rh 0.1496 0.2992 0.2500
N 0.2697 0.5393 0.1257
N 0.7303 0.4607 0.6257
N 0.7303 0.4607 0.8743
N 0.2697 0.5393 0.3743
N 0.0000 0.0000 0.5000
N 0.0000 0.0000 0.0000
N 0.4468 0.8936 0.7500
N 0.5532 0.1064 0.2500

=====

No. 6
The following is a DFT calculation (PBE) of an optimized crystal structure of BaSrInP2.

## Properties
Formation energy from the elements ... -0.592 eV per atom
Symmetry ... P2/c
Crystal system ... monoclinic

a = 5.5183 Å, b = 7.3824 Å, c = 8.3535 Å
α = 102.98°, β = 90.00°, γ = 90.00°
Fractional coordinates of all 10 atoms:
Ba 0.1835 0.5000 0.7500
Ba 0.8165 0.5000 0.2500
Sr 0.4862 0.0000 0.2500
Sr 0.5138 0.0000 0.7500
In 0.0000 0.0000 0.0000
In 0.0000 0.0000 0.5000
P 0.7213 0.7337 0.9528
P 0.7213 0.2663 0.5472
P 0.2787 0.7337 0.4528
P 0.2787 0.2663 0.0472

=====

No. 7
The following is a DFT calculation (PBE) of an optimized crystal structure of RbLa2Th.

## Properties
Formation energy from the elements ... 0.209 eV per atom
Symmetry ... R-3m
Crystal system ... trigonal

a = 3.7266 Å, b = 3.7266 Å, c = 13.8484 Å
α = 82.27°, β = 82.27°, γ = 60.00°
Fractional coordinates of all 4 atoms:
Rb 0.0000 0.0000 0.0000
Th 0.5000 0.5000 0.5000
La 0.0973 0.0973 0.7081
La 0.9027 0.9027 0.2919

=====

No. 8
The following is a DFT calculation (PBE) of an optimized crystal structure of Er5UC4.

## Properties
Formation energy from the elements ... -0.302 eV per atom
Symmetry ... C2/m
Crystal system ... monoclinic

a = 3.5583 Å, b = 7.1327 Å, c = 7.9270 Å
α = 102.49°, β = 102.97°, γ = 90.00°
Fractional coordinates of all 10 atoms:
Er 0.8382 0.6863 0.6763
Er 0.8329 0.1517 0.6657
Er 0.1671 0.8483 0.3343
Er 0.5000 0.5000 0.0000
Er 0.1618 0.3137 0.3237
U 0.5000 0.0000 0.0000
C 0.3406 0.9198 0.6811
C 0.9989 0.7683 0.9978
C 0.6594 0.0802 0.3189
C 0.0011 0.2317 0.0022

=====

No. 9
The following is a DFT calculation (PBE) of an optimized crystal structure of CePuSbP.

## Properties
Symmetry ... R3m
DFT total energy ... -8.51 eV per atom
Crystal system ... trigonal

a = 4.2243 Å, b = 4.2243 Å, c = 7.4230 Å
α = 73.47°, β = 73.47°, γ = 60.00°
Last column: magnetic moment on the atom in μB.
Fractional coordinates of all 4 atoms:
Ce 0.9902 0.9902 0.0295  0.57
Pu 0.5100 0.5100 0.4699  5.15
Sb 0.7515 0.7515 0.7454  -0.09
P 0.2483 0.2483 0.2552  -0.09

=====

No. 10
The following is a DFT calculation (PBE) of an optimized crystal structure of YVCr2Re.

## Properties
Formation energy from the elements ... 1.509 eV per atom
Symmetry ... P4/mmm
Crystal system ... tetragonal

a = 4.1944 Å, b = 4.9717 Å, c = 4.1944 Å
α = 90.00°, β = 90.00°, γ = 90.00°
Fractional coordinates of all 5 atoms:
Y 0.0000 0.5000 0.0000
Re 0.5000 0.5000 0.5000
V 0.0000 0.0000 0.0000
Cr 0.0000 0.0000 0.5000
Cr 0.5000 0.0000 0.0000

=====

No. 11
The following is a DFT calculation (PBE) of an optimized crystal structure of AcGe2AsO8.

## Properties
Symmetry ... R32
DFT total energy ... -6.47 eV per atom
Crystal system ... trigonal

a = 4.8063 Å, b = 4.8063 Å, c = 8.1266 Å
α = 72.80°, β = 72.80°, γ = 60.00°
Fractional coordinates of all 12 atoms:
Ac 0.0000 0.0000 0.0000
Ge 0.7624 0.7624 0.7129
Ge 0.2376 0.2376 0.2871
As 0.5000 0.5000 0.5000
O 0.6859 0.6859 0.9424
O 0.3141 0.3141 0.0576
O 0.5687 0.2444 0.3391
O 0.7556 0.4313 0.6609
O 0.1522 0.7556 0.6609
O 0.2444 0.8478 0.3391
O 0.8478 0.5687 0.3391
O 0.4313 0.1522 0.6609

=====

No. 12
The following is a DFT calculation (PBE) of an optimized crystal structure of Li4LaMg8.

## Properties
Formation energy from the elements ... 0.110 eV per atom
Symmetry ... R-3m
Crystal system ... trigonal

a = 5.9619 Å, b = 5.9619 Å, c = 11.2686 Å
α = 74.66°, β = 74.66°, γ = 60.00°
Fractional coordinates of all 13 atoms:
Li 0.5000 0.0000 0.0000
Li 0.5000 0.5000 0.0000
Li 0.0000 0.5000 0.0000
Li 0.0000 0.0000 0.0000
La 0.5000 0.5000 0.5000
Mg 0.7569 0.2517 0.2344
Mg 0.7483 0.2431 0.7656
Mg 0.2431 0.7483 0.7656
Mg 0.2431 0.2431 0.7656
Mg 0.2077 0.2077 0.3770
Mg 0.7923 0.7923 0.6230
Mg 0.7569 0.7569 0.2344
Mg 0.2517 0.7569 0.2344

=====

No. 13
The following is a DFT calculation (PBE) of an optimized crystal structure of MgOs4Pt.

## Properties
Formation energy from the elements ... 0.551 eV per atom
Symmetry ... F-43m
Crystal system ... cubic

a = 5.1630 Å, b = 5.1630 Å, c = 5.1630 Å
α = 60.00°, β = 60.00°, γ = 60.00°
Fractional coordinates of all 6 atoms:
Mg 0.0000 0.0000 0.0000
Os 0.6244 0.6244 0.1269
Os 0.6244 0.1269 0.6244
Os 0.6244 0.6244 0.6244
Os 0.1269 0.6244 0.6244
Pt 0.2500 0.2500 0.2500

=====

No. 14
The following is a DFT calculation (PBE) of an optimized crystal structure of PmScAlNi.

## Properties
Formation energy from the elements ... -0.278 eV per atom
Symmetry ... F-43m
Crystal system ... cubic

a = 4.8963 Å, b = 4.8963 Å, c = 4.8963 Å
α = 60.00°, β = 60.00°, γ = 60.00°
Fractional coordinates of all 4 atoms:
Sc 0.0000 0.0000 0.0000
Ni 0.2500 0.2500 0.2500
Al 0.7500 0.7500 0.7500
Pm 0.5000 0.5000 0.5000

=====

No. 15
The following is a DFT calculation (PBE) of an optimized crystal structure of YMo.

## Properties
Formation energy from the elements ... 0.311 eV per atom
Symmetry ... Imma
Polymorph energy (0 for the lowest one) ... 175 meV per atom
Crystal system ... orthorhombic

a = 5.2359 Å, b = 5.2359 Å, c = 5.2359 Å
α = 132.31°, β = 119.03°, γ = 80.88°
Fractional coordinates of all 4 atoms:
Y 0.8502 0.6002 0.2500
Y 0.1498 0.3998 0.7500
Mo 0.4172 0.1672 0.2500
Mo 0.5828 0.8328 0.7500

=====

No. 16
The following is a DFT calculation (PBE) of an optimized crystal structure of Sm6CuHg2.

## Properties
Formation energy from the elements ... -0.149 eV per atom
Symmetry ... P2_1/c
Crystal system ... monoclinic

a = 6.3077 Å, b = 8.0723 Å, c = 10.5739 Å
α = 90.00°, β = 93.52°, γ = 90.00°
Fractional coordinates of all 18 atoms:
Sm 0.8663 0.9596 0.2415
Sm 0.8553 0.6586 0.5501
Sm 0.8551 0.7117 0.9477
Sm 0.6449 0.2117 0.5523
Sm 0.6447 0.1586 0.9499
Sm 0.6337 0.4596 0.2585
Sm 0.1337 0.0404 0.7585
Sm 0.1447 0.3414 0.4499
Sm 0.1449 0.2883 0.0523
Sm 0.3551 0.7883 0.4477
Sm 0.3553 0.8414 0.0501
Sm 0.3663 0.5404 0.7415
Cu 0.5000 0.5000 0.0000
Cu 0.0000 0.0000 0.5000
Hg 0.9104 0.3937 0.7727
Hg 0.5896 0.8937 0.7273
Hg 0.4104 0.1063 0.2727
Hg 0.0896 0.6063 0.2273

=====

No. 17
The following is a DFT calculation (PBE) of an optimized crystal structure of CrAsSe2S.

## Properties
Symmetry ... P4/mmm
Polymorph energy (0 for the lowest one) ... 716 meV per atom
Crystal system ... tetragonal

a = 4.6977 Å, b = 4.6977 Å, c = 4.7857 Å
α = 90.00°, β = 90.00°, γ = 90.00°
Last column: magnetic moment on the atom in μB.
Fractional coordinates of all 5 atoms:
Cr 0.5000 0.5000 0.5000  0.12
As 0.0000 0.0000 0.5000  0.03
S 0.0000 0.0000 0.0000  0.00
Se 0.0000 0.5000 0.0000  -0.01
Se 0.5000 0.0000 0.0000  -0.01

=====

No. 18
The following is a DFT calculation (PBE) of an optimized crystal structure of Sm2MgBe.

## Properties
Formation energy from the elements ... 0.104 eV per atom
Symmetry ... Fm-3m
Polymorph energy (0 for the lowest one) ... 81 meV per atom
Crystal system ... cubic

a = 5.1779 Å, b = 5.1779 Å, c = 5.1779 Å
α = 60.00°, β = 60.00°, γ = 60.00°
Fractional coordinates of all 4 atoms:
Be 0.5000 0.5000 0.5000
Mg 0.0000 0.0000 0.0000
Sm 0.2500 0.2500 0.2500
Sm 0.7500 0.7500 0.7500

=====

No. 19
The following is a DFT calculation (PBE) of an optimized crystal structure of CuAgRh2.

## Properties
Formation energy from the elements ... 0.290 eV per atom
Symmetry ... F-43m
Polymorph energy (0 for the lowest one) ... 179 meV per atom
Crystal system ... cubic

a = 4.3845 Å, b = 4.3845 Å, c = 4.3845 Å
α = 60.00°, β = 60.00°, γ = 60.00°
Last column: magnetic moment on the atom in μB.
Fractional coordinates of all 4 atoms:
Ag 0.5000 0.5000 0.5000  0.01
Cu 0.7500 0.7500 0.7500  0.03
Rh 0.0000 0.0000 0.0000  0.71
Rh 0.2500 0.2500 0.2500  0.72

=====

No. 20
The following is a DFT calculation (PBE) of an optimized crystal structure of LaReHg2.

## Properties
Formation energy from the elements ... 0.409 eV per atom
Symmetry ... Pmmm
Polymorph energy (0 for the lowest one) ... 80 meV per atom
Crystal system ... orthorhombic

a = 3.0399 Å, b = 4.5776 Å, c = 6.2996 Å
α = 90.00°, β = 90.00°, γ = 90.00°
Fractional coordinates of all 4 atoms:
Hg 0.0000 0.0000 0.9713
Hg 0.0000 0.0000 0.5287
La 0.5000 0.5000 0.2500
Re 0.5000 0.5000 0.7500

=====

No. 21
The following is a DFT calculation (PBE) of an optimized crystal structure of GaSnP.

## Properties
Formation energy from the elements ... 0.093 eV per atom
Symmetry ... P2_1/m
Polymorph energy (0 for the lowest one) ... 171 meV per atom
Crystal system ... monoclinic

a = 5.8824 Å, b = 3.8620 Å, c = 5.9816 Å
α = 109.01°, β = 90.00°, γ = 90.00°
Fractional coordinates of all 6 atoms:
P 0.0000 0.0134 0.5135
P 0.5000 0.7247 0.9579
Ga 0.2500 0.3691 0.2355
Ga 0.7500 0.3691 0.2355
Sn 0.0000 0.6849 0.8538
Sn 0.5000 0.0533 0.6173

=====

No. 22
The following is a DFT calculation (PBE) of an optimized crystal structure of AsPb2Se.

## Properties
Symmetry ... R3m
Polymorph energy (0 for the lowest one) ... 142 meV per atom
Crystal system ... trigonal

a = 8.3588 Å, b = 8.3588 Å, c = 8.3588 Å
α = 29.36°, β = 29.36°, γ = 29.36°
Fractional coordinates of all 4 atoms:
Pb 0.0180 0.0180 0.0180
Pb 0.2368 0.2368 0.2368
As 0.7380 0.7380 0.7380
Se 0.5072 0.5072 0.5072

=====

No. 23
The following is a DFT calculation (PBE) of an optimized crystal structure of LuHfNiPd.

## Properties
Formation energy from the elements ... -0.569 eV per atom
Symmetry ... F-43m
Crystal system ... cubic

a = 4.6889 Å, b = 4.6889 Å, c = 4.6889 Å
α = 60.00°, β = 60.00°, γ = 60.00°
Fractional coordinates of all 4 atoms:
Ni 0.7500 0.7500 0.7500
Lu 0.5000 0.5000 0.5000
Hf 0.0000 0.0000 0.0000
Pd 0.2500 0.2500 0.2500

=====

No. 24
The following is a DFT calculation (PBE) of an optimized crystal structure of Pm2NdErTm.

## Properties
Formation energy from the elements ... 0.394 eV per atom
Symmetry ... Cmcm
Crystal system ... orthorhombic

a = 7.2682 Å, b = 8.4342 Å, c = 7.1550 Å
α = 126.11°, β = 90.00°, γ = 90.00°
Fractional coordinates of all 10 atoms:
Pm 0.5000 0.3069 0.0000
Pm 0.0000 0.6931 0.0000
Pm 0.5000 0.6931 0.0000
Pm 0.0000 0.3069 0.0000
Nd 0.2500 0.7270 0.4540
Nd 0.7500 0.2730 0.5460
Er 0.2500 0.9952 0.9903
Er 0.7500 0.0048 0.0097
Tm 0.7500 0.7284 0.4568
Tm 0.2500 0.2716 0.5432

=====

No. 25
The following is a DFT calculation (PBE) of an optimized crystal structure of CePm5Nd6.

## Properties
Formation energy from the elements ... 0.035 eV per atom
Symmetry ... C2/m
Crystal system ... monoclinic

a = 5.1720 Å, b = 10.3498 Å, c = 9.6736 Å
α = 122.28°, β = 105.55°, γ = 90.03°
Last column: magnetic moment on the atom in μB.
Fractional coordinates of all 12 atoms:
Nd 0.8347 0.5863 0.6694  0.00
Nd 0.8346 0.0832 0.6695  0.00
Nd 0.5001 0.7530 0.0000  0.01
Nd 0.4999 0.2470 0.0000  0.01
Nd 0.1654 0.9168 0.3305  0.00
Nd 0.1653 0.4137 0.3306  0.00
Ce 0.0000 0.0000 0.0000  0.79
Pm 0.6647 0.1647 0.3294  0.01
Pm 0.3329 0.3329 0.6658  -0.01
Pm 0.0000 0.5000 0.0000  0.00
Pm 0.6671 0.6671 0.3342  -0.01
Pm 0.3353 0.8353 0.6706  0.01